Below is a geometry-optimized YInSi2 structure, with properties calculated at the PBE level.

Its density is 4.96 g cm⁻³. The energy relative to the lowest polymorph listed for this composition is 290 meV/atom. The total magnetization is 0.000 μB/atom. Its crystal system is tetragonal. The formation energy from raw total energies comes out at 0.075 eV per atom.

CIF file:
```
data_YInSi2
_space_group_name_H-M_alt 'P 1'
_space_group_IT_number 1
_cell_length_a 3.240
_cell_length_b 3.240
_cell_length_c 8.286
_cell_angle_alpha 90.00
_cell_angle_beta 90.00
_cell_angle_gamma 90.00
loop_
_space_group_symop_operation_xyz
'x,y,z'
loop_
_atom_site_label
_atom_site_type_symbol
_atom_site_fract_x
_atom_site_fract_y
_atom_site_fract_z
_atom_site_occupancy
In1 In 0.500 0.500 0.750 1
Y1 Y 0.500 0.500 0.250 1
Si1 Si 0.000 0.000 0.492 1
Si2 Si 0.000 0.000 0.008 1
```


Below is a geometry-optimized Y2InSi structure, with properties calculated at the PBE level.

Its density is 4.94 g cm⁻³. The total magnetization is 0.000 μB/atom. Its crystal system is tetragonal. The formation energy from raw total energies comes out at -0.236 eV per atom.

CIF file:
```
data_Y2InSi
_space_group_name_H-M_alt 'P 1'
_space_group_IT_number 1
_cell_length_a 8.027
_cell_length_b 8.027
_cell_length_c 6.591
_cell_angle_alpha 52.49
_cell_angle_beta 52.49
_cell_angle_gamma 90.00
loop_
_space_group_symop_operation_xyz
'x,y,z'
loop_
_atom_site_label
_atom_site_type_symbol
_atom_site_fract_x
_atom_site_fract_y
_atom_site_fract_z
_atom_site_occupancy
In1 In 0.750 0.250 0.500 1
Si1 Si 0.500 0.500 0.000 1
Y1 Y 0.375 0.405 0.750 1
Y2 Y 0.595 0.125 0.250 1
Y3 Y 0.875 0.845 0.750 1
In2 In 0.000 0.000 0.000 1
Si2 Si 0.250 0.750 0.500 1
Y4 Y 0.155 0.625 0.250 1
```